1.
Entry from Alexandria: a geometry-optimized Ca2InTeO6 structure (GGA-PBE).

Calculated values
N(E_F) (states/eV/f.u.): 1.4
Energy relative to the elements, uncorrected (eV/atom): -1.8255
Crystal system: tetragonal
Electronic total energy (eV/cell): -57.89
SG: P4mm (99)

Unit cell a=5.559 b=5.559 c=5.057 alpha=90.00 beta=90.00 gamma=90.00
Fractional coordinates of all 10 atoms:
Ca 0.000 0.500 0.000
Ca 0.500 0.000 0.000
In 0.000 0.000 0.567
Te 0.500 0.500 0.609
O 0.000 0.000 0.165
O 0.256 0.256 0.728
O 0.256 0.744 0.728
O 0.500 0.500 0.229
O 0.744 0.256 0.728
O 0.744 0.744 0.728

***

2.
Entry from Alexandria: a geometry-optimized Ni4SbTe structure (GGA-PBE).

Calculated values
N(E_F) (states/eV/f.u.): 4.1
Energy relative to the elements, uncorrected (eV/atom): 0.1981
Crystal system: cubic
Electronic total energy (eV/cell): -29.20
SG: F-43m (216)

Unit cell a=5.016 b=5.016 c=5.016 alpha=60.00 beta=60.00 gamma=60.00
Fractional coordinates of all 6 atoms:
Ni 0.125 0.125 0.125
Ni 0.125 0.125 0.625
Ni 0.125 0.625 0.125
Ni 0.625 0.125 0.125
Sb 0.750 0.750 0.750
Te 0.500 0.500 0.500